A plane-wave DFT calculation with PBE was carried out for crystalline CePr6Nd3 at its relaxed geometry.

Cell lengths 10.1508, 10.1508, 11.8984 Å; angles 90.00, 90.00, 120.00 degrees
Space group R3 (No. 146, hexagonal axes)
Symmetry-distinct sites (fractional):
Ce1 0.0000 0.0000 0.0000 [3 per cell]
Pr1 0.0008 0.3190 0.9984 [9 per cell]
Pr2 0.0007 0.6758 0.4980 [9 per cell]
Nd1 0.0000 0.0000 0.2432 [3 per cell]
Nd2 0.0000 0.0000 0.4999 [3 per cell]
Nd3 0.0000 0.0000 0.7554 [3 per cell]

Values from the calculation:
- Crystal system: trigonal
- Energy relative to the elements: 21.2 kJ/mol of atoms
- Magnetic moment: 2.42 μB per cell
- Calculated total energy: -140.14 eV per cell


A plane-wave DFT calculation with PBE was carried out for crystalline CePr15Nd4 at its relaxed geometry.

Cell lengths 5.243, 5.243, 26.132 Å; angles 90.00, 90.00, 90.00 degrees
Space group P4/mmm (No. 123)
Symmetry-distinct sites (fractional):
Ce1 0.000 0.000 0.000 [1 per cell]
Pr1 0.000 0.500 0.098 [4 per cell]
Pr2 0.000 0.500 0.299 [4 per cell]
Pr3 0.000 0.500 0.500 [2 per cell]
Pr4 0.500 0.500 0.000 [1 per cell]
Pr5 0.500 0.500 0.200 [2 per cell]
Pr6 0.500 0.500 0.400 [2 per cell]
Nd1 0.000 0.000 0.199 [2 per cell]
Nd2 0.000 0.000 0.400 [2 per cell]

Values from the calculation:
- Crystal system: tetragonal
- Energy relative to the elements: 2.6 kJ/mol of atoms
- Magnetic moment: 1.36 μB per cell
- Calculated total energy: -96.16 eV per cell


A plane-wave DFT calculation with PBE was carried out for crystalline CePr6Nd8 at its relaxed geometry.

Cell lengths 9.3507, 9.3507, 21.1885 Å; angles 90.00, 90.00, 120.00 degrees
Space group R-3 (No. 148, hexagonal axes)
Symmetry-distinct sites (fractional):
Ce1 0.0000 0.0000 0.0000 [3 per cell]
Pr1 0.0555 0.2487 0.7079 [18 per cell]
Nd1 0.0000 0.0000 0.4226 [6 per cell]
Nd2 0.0803 0.5622 0.8055 [18 per cell]

Values from the calculation:
- Crystal system: trigonal
- Energy relative to the elements: 11.1 kJ/mol of atoms
- Magnetic moment: 3.80 μB per cell
- Calculated total energy: -213.09 eV per cell


A plane-wave DFT calculation with PBE was carried out for crystalline CePr2Nd4 at its relaxed geometry.

Cell lengths 6.355, 3.670, 21.004 Å; angles 90.00, 90.03, 90.00 degrees
Space group Cm (No. 8)
Symmetry-distinct sites (fractional):
Ce1 0.000 0.000 0.000 [2 per cell]
Pr1 0.002 0.000 0.284 [2 per cell]
Pr2 0.003 0.000 0.572 [2 per cell]
Nd1 0.167 0.500 0.138 [2 per cell]
Nd2 0.167 0.500 0.859 [2 per cell]
Nd3 0.335 0.000 0.718 [2 per cell]
Nd4 0.336 0.000 0.427 [2 per cell]

Values from the calculation:
- Crystal system: monoclinic
- Energy relative to the elements: 0.3 kJ/mol of atoms
- Magnetic moment: 2.71 μB per cell
- Calculated total energy: -69.08 eV per cell


A plane-wave DFT calculation with PBE was carried out for crystalline CePr8Nd4 at its relaxed geometry.

Cell lengths 12.0050, 12.0050, 11.7223 Å; angles 90.00, 90.00, 120.00 degrees
Space group R-3m (No. 166, hexagonal axes)
Symmetry-distinct sites (fractional):
Ce1 0.0000 0.0000 0.0000 [3 per cell]
Pr1 0.0000 0.0000 0.2527 [6 per cell]
Pr2 0.0017 0.5008 0.1679 [18 per cell]
Nd1 0.0000 0.0000 0.5000 [3 per cell]
Nd2 0.0000 0.5000 0.5000 [9 per cell]

Values from the calculation:
- Crystal system: trigonal
- Energy relative to the elements: 37.8 kJ/mol of atoms
- Magnetic moment: 2.65 μB per cell
- Calculated total energy: -174.43 eV per cell


A plane-wave DFT calculation with PBE was carried out for crystalline Ce2Pr8Nd at its relaxed geometry.

Cell lengths 5.692, 8.460, 16.236 Å; angles 90.00, 90.00, 90.00 degrees
Space group Immm (No. 71)
Symmetry-distinct sites (fractional):
Ce1 0.000 0.000 0.200 [4 per cell]
Pr1 0.000 0.202 0.000 [4 per cell]
Pr2 0.000 0.295 0.359 [8 per cell]
Pr3 0.000 0.500 0.158 [4 per cell]
Nd1 0.000 0.000 0.500 [2 per cell]

Values from the calculation:
- Crystal system: orthorhombic
- Energy relative to the elements: 14.6 kJ/mol of atoms
- Magnetic moment: 3.35 μB per cell
- Calculated total energy: -106.41 eV per cell


A plane-wave DFT calculation with PBE was carried out for crystalline CePr3Nd3 at its relaxed geometry.

Cell lengths 11.897, 11.636, 7.306 Å; angles 90.00, 90.01, 90.00 degrees
Space group C2/m (No. 12)
Symmetry-distinct sites (fractional):
Ce1 0.217 0.000 0.000 [4 per cell]
Pr1 0.000 0.205 0.500 [4 per cell]
Pr2 0.000 0.206 0.000 [4 per cell]
Pr3 0.226 0.000 0.499 [4 per cell]
Nd1 0.000 0.500 0.246 [4 per cell]
Nd2 0.250 0.250 0.243 [8 per cell]

Values from the calculation:
- Crystal system: monoclinic
- Energy relative to the elements: 19.1 kJ/mol of atoms
- Magnetic moment: 4.57 μB per cell
- Calculated total energy: -132.75 eV per cell


A plane-wave DFT calculation with PBE was carried out for crystalline CePr5Nd8 at its relaxed geometry.

Cell lengths 12.588, 11.918, 9.196 Å; angles 90.00, 132.90, 90.00 degrees
Space group C2 (No. 5)
Symmetry-distinct sites (fractional):
Ce1 0.000 0.000 0.000 [2 per cell]
Pr1 0.000 0.052 0.500 [2 per cell]
Pr2 0.138 0.532 0.947 [4 per cell]
Pr3 0.183 0.575 0.573 [4 per cell]
Nd1 0.066 0.823 0.800 [4 per cell]
Nd2 0.070 0.233 0.856 [4 per cell]
Nd3 0.228 0.363 0.316 [4 per cell]
Nd4 0.249 0.761 0.310 [4 per cell]

Values from the calculation:
- Crystal system: monoclinic
- Energy relative to the elements: 18.4 kJ/mol of atoms
- Magnetic moment: 1.92 μB per cell
- Calculated total energy: -130.60 eV per cell


A plane-wave DFT calculation with PBE was carried out for crystalline CePr6Nd at its relaxed geometry.

Cell lengths 5.213, 5.213, 10.418 Å; angles 90.00, 90.00, 90.00 degrees
Space group P4/mmm (No. 123)
Symmetry-distinct sites (fractional):
Ce1 0.000 0.000 0.000 [1 per cell]
Pr1 0.000 0.500 0.246 [4 per cell]
Pr2 0.500 0.500 0.000 [1 per cell]
Pr3 0.500 0.500 0.500 [1 per cell]
Nd1 0.000 0.000 0.500 [1 per cell]

Values from the calculation:
- Crystal system: tetragonal
- Energy relative to the elements: 4.5 kJ/mol of atoms
- Magnetic moment: 0.97 μB per cell
- Calculated total energy: -39.01 eV per cell
- Distance to the lowest polymorph of the same formula: 0.000 eV per atom


A plane-wave DFT calculation with PBE was carried out for crystalline CePr12Nd3 at its relaxed geometry.

Cell lengths 5.232, 5.232, 20.893 Å; angles 90.00, 90.00, 90.00 degrees
Space group P4/mmm (No. 123)
Symmetry-distinct sites (fractional):
Ce1 0.000 0.000 0.000 [1 per cell]
Pr1 0.000 0.500 0.122 [4 per cell]
Pr2 0.000 0.500 0.374 [4 per cell]
Pr3 0.500 0.500 0.000 [1 per cell]
Pr4 0.500 0.500 0.250 [2 per cell]
Pr5 0.500 0.500 0.500 [1 per cell]
Nd1 0.000 0.000 0.249 [2 per cell]
Nd2 0.000 0.000 0.500 [1 per cell]

Values from the calculation:
- Crystal system: tetragonal
- Energy relative to the elements: 2.6 kJ/mol of atoms
- Magnetic moment: 1.04 μB per cell
- Calculated total energy: -77.15 eV per cell


A plane-wave DFT calculation with PBE was carried out for crystalline CePr12Nd7 at its relaxed geometry.

Cell lengths 16.3193, 16.3193, 9.3390 Å; angles 90.00, 90.00, 120.00 degrees
Space group R-3 (No. 148, hexagonal axes)
Symmetry-distinct sites (fractional):
Ce1 0.0000 0.0000 0.0000 [3 per cell]
Pr1 0.0282 0.2669 0.3439 [18 per cell]
Pr2 0.0707 0.5654 0.6601 [18 per cell]
Nd1 0.0000 0.0000 0.5000 [3 per cell]
Nd2 0.0144 0.1584 0.6994 [18 per cell]

Values from the calculation:
- Crystal system: trigonal
- Energy relative to the elements: 11.8 kJ/mol of atoms
- Magnetic moment: 3.59 μB per cell
- Calculated total energy: -282.65 eV per cell
- Distance to the lowest polymorph of the same formula: 0.000 eV per atom


A plane-wave DFT calculation with PBE was carried out for crystalline CePr8Nd5 at its relaxed geometry.

Cell lengths 8.442, 8.456, 9.019 Å; angles 63.59, 63.80, 87.02 degrees
Space group P1 (No. 1)
Symmetry-distinct sites (fractional):
Ce1 0.000 0.000 0.000 [1 per cell]
Pr1 0.062 0.469 0.837 [1 per cell]
Pr2 0.218 0.244 0.159 [1 per cell]
Pr3 0.279 0.719 0.001 [1 per cell]
Pr4 0.531 0.939 0.162 [1 per cell]
Pr5 0.557 0.606 0.653 [1 per cell]
Pr6 0.731 0.105 0.358 [1 per cell]
Pr7 0.756 0.781 0.844 [1 per cell]
Pr8 0.898 0.268 0.639 [1 per cell]
Nd1 0.045 0.770 0.403 [1 per cell]
Nd2 0.231 0.955 0.597 [1 per cell]
Nd3 0.391 0.445 0.352 [1 per cell]
Nd4 0.445 0.173 0.738 [1 per cell]
Nd5 0.824 0.556 0.263 [1 per cell]

Values from the calculation:
- Crystal system: triclinic
- Energy relative to the elements: 13.3 kJ/mol of atoms
- Magnetic moment: 0.72 μB per cell
- Calculated total energy: -66.07 eV per cell


Question: Which value of energy relative to the elements does entry 9 give?
Answer: 4.5 kJ/mol of atoms